Sm2CuS4 after structural relaxation, computed with PBE.

Lattice parameters (Å, degrees): 6.7497 5.6336 7.9308 90.00 107.05 90.00
Space group P2_1/m (No. 11)
One atom of each set of equivalent atoms:
1 Sm 0.2317 0.2500 0.4332 [2 per cell]
2 Sm 0.2386 0.2500 0.9339 [2 per cell]
3 Cu 0.2482 0.7500 0.1868 [2 per cell]
4 S 0.0700 0.7500 0.3908 [2 per cell]
5 S 0.0723 0.7500 0.8944 [2 per cell]
6 S 0.4858 0.5123 0.7434 [4 per cell]

ρ: 5.674 g cm⁻³
total moment: 0.00 μB/atom
ΔE_f (raw): -1494 meV/atom
calculated volume: 20.6 Å³ per atom